1.
PBE Ta2TiTc3, relaxed; ΔE_f = -0.516 eV per atom; space-group type = P4/mmm, No. 123; total moment = 0.00 Bohr magnetons per cell; V = 94.9 Å³ per cell
1.0
3.167 0.000 0.000
0.000 3.167 0.000
0.000 0.000 9.460
Ta Ti Tc
2 1 3
Cartesian
0.000 0.000 1.613 Ta
0.000 0.000 7.847 Ta
0.000 0.000 4.730 Ti
1.583 1.583 0.000 Tc
1.583 1.583 3.174 Tc
1.583 1.583 6.286 Tc

2.
PBE Sc2NiPtC, relaxed; ΔE_f = -0.695 eV per atom; space-group type = P4/mmm, No. 123; total moment = 0.00 Bohr magnetons per cell; V = 75.6 Å³ per cell
1.0
4.568 0.000 0.000
0.000 4.568 0.000
0.000 0.000 3.625
Sc Ni Pt C
2 1 1 1
Cartesian
0.000 2.284 0.000 Sc
2.284 0.000 0.000 Sc
0.000 0.000 1.813 Ni
2.284 2.284 1.813 Pt
0.000 0.000 0.000 C

3.
PBE Ca2NdHg, relaxed; E above lowest polymorph = 67 meV per atom; ΔE_f = -0.143 eV per atom; space-group type = P4/mmm, No. 123; total moment = 0.00 Bohr magnetons per cell; V = 126.4 Å³ per cell
1.0
4.874 0.000 0.000
0.000 4.874 0.000
0.000 0.000 5.322
Ca Nd Hg
2 1 1
Cartesian
0.000 2.437 0.000 Ca
2.437 0.000 0.000 Ca
0.000 0.000 2.661 Nd
2.437 2.437 2.661 Hg

4.
PBE PrZrCuAu, relaxed; ΔE_f = -0.221 eV per atom; space-group type = F-43m, No. 216; total moment = 0.93 Bohr magnetons per cell; V = 88.6 Å³ per cell
1.0
0.000 3.538 3.538
3.538 0.000 3.538
3.538 3.538 0.000
Pr Zr Cu Au
1 1 1 1
Cartesian
0.000 0.000 0.000 Pr
3.538 3.538 3.538 Zr
1.769 1.769 1.769 Cu
5.307 5.307 5.307 Au

5.
PBE V4Pt, relaxed; E above lowest polymorph = 0 meV per atom; ΔE_f = -0.282 eV per atom; space-group type = R-3m, No. 166; total moment = 0.00 Bohr magnetons per cell; V = 68.7 Å³ per cell
1.0
2.130 1.230 4.369
-2.130 1.230 4.369
0.000 -2.460 4.369
V Pt
4 1
Cartesian
0.000 0.000 1.219 V
0.000 0.000 3.907 V
0.000 0.000 9.201 V
0.000 0.000 11.889 V
0.000 0.000 6.554 Pt

6.
PBE Pm8Nd6Mg, relaxed; ΔE_f = 0.116 eV per atom; space-group type = P-3, No. 147; total moment = 0.00 Bohr magnetons per cell; V = 517.9 Å³ per cell
1.0
9.544 0.000 0.000
-4.772 8.265 0.000
0.000 0.000 6.565
Pm Nd Mg
8 6 1
Cartesian
-0.922 2.226 1.184 Pm
-2.383 7.951 1.184 Pm
1.467 1.912 5.382 Pm
0.000 5.510 0.910 Pm
4.772 2.755 5.655 Pm
3.305 6.354 1.184 Pm
7.155 0.314 5.382 Pm
5.694 6.039 5.382 Pm
-1.261 3.678 4.415 Nd
-0.957 7.518 4.415 Nd
2.554 2.931 2.150 Nd
2.218 5.335 4.415 Nd
5.729 0.747 2.150 Nd
6.033 4.588 2.150 Nd
0.000 0.000 3.283 Mg